(1)
Compound: FeAs2P
Source: Alexandria
Functional: PBE-GGA
Structure: relaxed

Theoretical density, g/cm3: 6.1
E_form, eV/atom: 0.52

Unit cell a=2.7526 b=4.7911 c=4.8664 alpha=90.00 beta=90.00 gamma=90.00
With the nearest neighbours (Å) after each atom.
Fractional coordinates of all 4 atoms:
Fe: 0.0000 0.0000 0.0000  2 Fe 2.75, 4 As 2.76, 4 P 2.80
As: 0.0000 0.5000 0.5000  6 As 2.75-2.80, 4 P 2.76
As: 0.5000 0.5000 0.0000  6 As 2.75-2.80, 4 Fe 2.76
P: 0.5000 0.0000 0.5000  2 P 2.75, 4 As 2.76, 4 Fe 2.80

(2)
Compound: Fe3AsP
Source: Alexandria
Functional: PBE-GGA
Structure: relaxed

Theoretical density, g/cm3: 5.5
E_form, eV/atom: 0.92

Unit cell a=4.3575 b=4.3575 c=4.3575 alpha=90.00 beta=90.00 gamma=90.00
With the nearest neighbours (Å) after each atom.
Fractional coordinates of all 5 atoms:
Fe: 0.0000 0.0000 0.5000  2 As 2.18
Fe: 0.0000 0.5000 0.0000  2 As 2.18
Fe: 0.5000 0.0000 0.0000  2 As 2.18
As: 0.0000 0.0000 0.0000  6 Fe 2.18
P: 0.5000 0.5000 0.5000  12 Fe 3.08

(3)
Compound: FeAsP2
Source: Alexandria
Functional: PBE-GGA
Structure: relaxed

Theoretical density, g/cm3: 5.1
E_form, eV/atom: -0.01

Unit cell a=4.2592 b=8.1369 c=3.6417 alpha=90.00 beta=90.00 gamma=90.00
With the nearest neighbours (Å) after each atom.
Fractional coordinates of all 8 atoms:
Fe: 0.0000 0.0000 0.0000  2 As 2.13, 4 P 2.32
Fe: 0.5000 0.5000 0.0000  2 As 2.13, 4 P 2.32
As: 0.0000 0.5000 0.0000  2 Fe 2.13
As: 0.5000 0.0000 0.0000  2 Fe 2.13
P: 0.0000 0.1758 0.5000  2 Fe 2.32, 2 P 2.45
P: 0.0000 0.8242 0.5000  2 Fe 2.32, 2 P 2.45
P: 0.5000 0.3242 0.5000  2 Fe 2.32, 2 P 2.45
P: 0.5000 0.6758 0.5000  2 Fe 2.32, 2 P 2.45

(4)
Compound: FeAsP2
Source: Alexandria
Functional: PBE-GGA
Structure: relaxed

Theoretical density, g/cm3: 5.6
E_form, eV/atom: 0.55

Unit cell a=2.9282 b=4.3148 c=4.5551 alpha=90.00 beta=90.00 gamma=90.00
With the nearest neighbours (Å) after each atom.
Fractional coordinates of all 4 atoms:
Fe: 0.0000 0.0000 0.0000  4 As 2.61, 4 P 2.71
As: 0.5000 0.5000 0.0000  4 Fe 2.61, 4 P 2.71
P: 0.0000 0.5000 0.5000  4 P 2.61, 4 As 2.71
P: 0.5000 0.0000 0.5000  4 P 2.61, 4 Fe 2.71